(1)
Entry from Alexandria: a relaxed Te2AsC crystal (PBE).

Energy relative to the elements, uncorrected   1577 meV/atom
Excess energy over the best structure of this formula in the dataset   518.1 meV/atom

Lattice parameters (Å, degrees): 6.8497 6.8497 6.8497 90.00 90.00 90.00
Last column: nearest neighbours and their distance in Å.
Space group Fm-3m (No. 225)
Symmetry-distinct sites (fractional):
Te (0.2500, 0.2500, 0.2500)  4 As 2.97, 4 C 2.97
As (0.0000, 0.0000, 0.0000)  8 Te 2.97
C (0.0000, 0.0000, 0.5000)  8 Te 2.97

---

(2)
Entry from Alexandria: a relaxed TeAsC2 crystal (PBE).

Energy relative to the elements, uncorrected   2409 meV/atom
Excess energy over the best structure of this formula in the dataset   853.9 meV/atom

Lattice parameters (Å, degrees): 6.0076 6.0076 6.0076 90.00 90.00 90.00
Last column: nearest neighbours and their distance in Å.
Space group Fm-3m (No. 225)
Symmetry-distinct sites (fractional):
Te (0.0000, 0.0000, 0.0000)  8 C 2.60
As (0.0000, 0.0000, 0.5000)  8 C 2.60
C (0.2500, 0.2500, 0.2500)  4 As 2.60, 4 Te 2.60

---

(3)
Entry from Alexandria: a relaxed TeAsC3 crystal (PBE).

Energy relative to the elements, uncorrected   2965 meV/atom
Excess energy over the best structure of this formula in the dataset   443.5 meV/atom

Lattice parameters (Å, degrees): 4.1701 4.1701 4.1701 90.00 90.00 90.00
Last column: nearest neighbours and their distance in Å.
Space group Pm-3m (No. 221)
Symmetry-distinct sites (fractional):
Te (0.0000, 0.0000, 0.0000)  6 C 2.09
As (0.5000, 0.5000, 0.5000)  12 C 2.95
C (0.0000, 0.0000, 0.5000)  2 Te 2.09